P | A relaxed structure of CeNiH, computed with PBE.

The structure in POSCAR format:
```
CeNiH
1.0
3.6023 0.0000 0.0000
0.0000 3.7144 0.0000
0.0000 -1.8572 3.2168
H Ni Ce
1 1 1
direct
0.1668 0.6667 0.3333
0.1666 0.0000 0.0000
0.6667 0.3333 0.6667
```

Properties
- theoretical density (g/cm3) = 7.7
- crystal system = hexagonal
- magnetization (μB per cell) = 0.01

=====

Q | A relaxed structure of CeNiH, computed with PBE.

The structure in POSCAR format:
```
CeNiH
1.0
3.7591 0.0063 0.2904
-0.0067 4.4099 -0.0089
0.6470 0.0116 5.1963
H Ce Ni
2 2 2
direct
0.9928 0.7166 0.8006
0.6303 0.2166 0.9923
0.4465 0.7164 0.1115
0.1767 0.2165 0.6814
0.7670 0.7156 0.5310
0.8563 0.2154 0.2619
```

Properties
- theoretical density (g/cm3) = 7.8
- crystal system = monoclinic
- magnetization (μB per cell) = 0.00

=====

R | A relaxed structure of CeNiH, computed with PBE.

The structure in POSCAR format:
```
CeNiH
1.0
-0.9195 -3.2668 1.5788
0.9248 -1.7860 -3.1567
3.2552 2.1685 1.9459
H Ni Ce
1 1 1
direct
0.9893 0.9893 0.9786
0.2113 0.2113 0.4226
0.6494 0.6494 0.2988
```

Properties
- theoretical density (g/cm3) = 6.8
- crystal system = tetragonal
- magnetization (μB per cell) = 0.38

=====

S | A relaxed structure of CeNiH, computed with PBE.

The structure in POSCAR format:
```
CeNiH
1.0
3.7506 0.0000 0.0000
0.0000 6.7816 0.0000
0.0000 0.0000 7.2124
Ce Ni H
4 4 4
direct
0.2500 0.8152 0.6836
0.2500 0.6848 0.1836
0.7500 0.1848 0.3164
0.7500 0.3152 0.8164
0.7500 0.6113 0.4647
0.7500 0.8887 0.9647
0.2500 0.1113 0.0353
0.2500 0.3887 0.5353
0.7500 0.6546 0.9281
0.7500 0.8454 0.4281
0.2500 0.3454 0.0719
0.2500 0.1546 0.5719
```

Properties
- theoretical density (g/cm3) = 7.2
- crystal system = orthorhombic
- magnetization (μB per cell) = 3.06

=====

Referenced to the most stable arrangement, the calculated values in kJ/mol of atoms are P 24.1; Q 0.0; R 23.4; S 3.6.

=====

P | A relaxed structure of CeNiSnH, computed with PBE.

The structure in POSCAR format:
```
CeNiSnH
1.0
4.5041 0.0000 0.0000
-2.2521 3.9016 0.0059
0.0000 -0.0059 3.7528
Ni Ce H Sn
1 1 1 1
direct
0.2385 0.4770 0.8120
0.5720 0.1439 0.3093
0.2386 0.4772 0.3088
0.9052 0.8105 0.8090
```

Properties
- theoretical density (g/cm3) = 8.0
- crystal system = trigonal
- magnetization (μB per cell) = 0.20

=====

Q | A relaxed structure of CeNiSnH, computed with PBE.

The structure in POSCAR format:
```
CeNiSnH
1.0
4.3820 0.0000 0.0000
0.0000 7.2402 0.0000
0.0000 0.0000 8.2878
H Sn Ni Ce
4 4 4 4
direct
0.7500 0.5561 0.0815
0.7500 0.0561 0.4185
0.2500 0.4439 0.9185
0.2500 0.9439 0.5815
0.7500 0.6700 0.4270
0.7500 0.1700 0.0730
0.2500 0.3300 0.5730
0.2500 0.8300 0.9270
0.2500 0.7178 0.6023
0.2500 0.2178 0.8977
0.7500 0.7822 0.1023
0.7500 0.2822 0.3977
0.7500 0.5112 0.8069
0.7500 0.0112 0.6931
0.2500 0.4888 0.1931
0.2500 0.9888 0.3069
```

Properties
- theoretical density (g/cm3) = 8.0
- crystal system = orthorhombic
- magnetization (μB per cell) = 2.60

=====

Referenced to the most stable arrangement, the calculated values in kJ/mol of atoms are P 1.5; Q 0.0.